This record from Alexandria describes crystalline LaSm2DyHg4 at its relaxed geometry. The functional is PBE-GGA.

Structure (POSCAR):
```
LaSm2DyHg4
1.0
2.684 1.550 8.848
-2.684 1.550 8.848
0.000 -3.099 8.848
La Sm Dy Hg
1 2 1 4
Direct
0.000 0.000 0.000
0.249 0.249 0.249
0.751 0.751 0.751
0.500 0.500 0.500
0.128 0.128 0.128
0.379 0.379 0.379
0.621 0.621 0.621
0.872 0.872 0.872
```

Calculated values
ρ, g/cm³: 10.56
Space-group type: No. 166
DOS(E_F), states/eV/atom: 1.1572
DFT formation energy, meV/atom: -473
Final energy, eV/atom: -2.995

---

This record from Alexandria describes crystalline LaDy2Sn2Hg2 at its relaxed geometry. The functional is PBE-GGA.

Structure (POSCAR):
```
LaDy2Sn2Hg2
1.0
2.513 1.451 9.005
-2.513 1.451 9.005
0.000 -2.902 9.005
La Dy Sn Hg
1 2 2 2
Direct
0.000 0.000 0.000
0.132 0.132 0.132
0.868 0.868 0.868
0.266 0.266 0.266
0.734 0.734 0.734
0.434 0.434 0.434
0.566 0.566 0.566
```

Calculated values
ρ, g/cm³: 9.29
Space-group type: No. 166
DOS(E_F), states/eV/atom: 0.8034
DFT formation energy, meV/atom: -379
Final energy, eV/atom: -3.628

---

This record from Alexandria describes crystalline LaTbDyHg at its relaxed geometry. The functional is PBE-GGA.

Structure (POSCAR):
```
LaTbDyHg
1.0
3.692 0.000 0.000
0.000 3.692 0.000
0.000 0.000 8.863
La Tb Dy Hg
1 1 1 1
Direct
0.000 0.000 0.000
0.500 0.500 0.712
0.500 0.500 0.286
0.000 0.000 0.497
```

Calculated values
ρ, g/cm³: 9.09
Relative energy among the computed polymorphs, meV per atom: 0
Space-group type: No. 99
DOS(E_F), states/eV/atom: 1.5494
DFT formation energy, meV/atom: -228
Final energy, eV/atom: -3.843